[1]
This record from Alexandria via LeMat-Bulk describes a crystal of GaOs3Au relaxed with PBEsol. The functional is meta-GGA SCAN.

Results
crystal system: cubic
ΔH_f (0 K): 2.09 eV per atom

a b c (Å): 4.4495 4.4495 4.4495
angles (deg): 90.00 90.00 90.00
Closest atoms and distances in Å follow each position.
Space group Pm-3m (No. 221)
Asymmetric unit:
Ga: 0.0000 0.0000 0.0000 x1  6 Os 2.22
Os: 0.0000 0.0000 0.5000 x3  2 Ga 2.22
Au: 0.5000 0.5000 0.5000 x1  12 Os 3.15


[2]
This record from Alexandria via LeMat-Bulk describes a crystal of KBaFeN2 relaxed with PBEsol. The functional is meta-GGA SCAN.

Results
crystal system: tetragonal
formation energy (no corrections): 0.756 eV per atom

a b c (Å): 4.1143 4.1143 4.5047
angles (deg): 90.00 90.00 90.00
Closest atoms and distances in Å follow each position.
Space group P4/mmm (No. 123)
Asymmetric unit:
K: 0.0000 0.0000 0.0000 x1  2 Fe 2.25
Ba: 0.5000 0.5000 0.0000 x1  4 K 2.91, 8 N 3.05
Fe: 0.0000 0.0000 0.5000 x1  4 N 2.06, 2 K 2.25
N: 0.0000 0.5000 0.5000 x2  2 Fe 2.06


[3]
This record from Alexandria via LeMat-Bulk describes a crystal of Hf2CdIrBr relaxed with PBEsol. The functional is meta-GGA SCAN.

Results
crystal system: tetragonal
formation energy (no corrections): 1.163 eV per atom

a b c (Å): 4.7463 4.7463 4.8660
angles (deg): 90.00 90.00 90.00
Closest atoms and distances in Å follow each position.
Space group P4/mmm (No. 123)
Asymmetric unit:
Hf: 0.0000 0.5000 0.0000 x2  2 Br 2.37
Cd: 0.0000 0.0000 0.5000 x1  2 Br 2.43
Ir: 0.5000 0.5000 0.5000 x1  4 Cd 3.36, 8 Hf 3.40
Br: 0.0000 0.0000 0.0000 x1  4 Hf 2.37, 2 Cd 2.43


[4]
This record from Alexandria via LeMat-Bulk describes a crystal of SbIrPt2 relaxed with PBEsol. The functional is meta-GGA SCAN.

Results
crystal system: tetragonal
formation energy (no corrections): 0.167 eV per atom

a b c (Å): 3.4067 3.4067 5.6381
angles (deg): 90.00 90.00 90.00
Closest atoms and distances in Å follow each position.
Space group P4mm (No. 99)
Asymmetric unit:
Sb: 0.0000 0.0000 0.0000 x1  4 Ir 2.79, 6 Pt 2.79-2.86
Ir: 0.5000 0.5000 0.2488 x1  6 Pt 2.70-2.94, 4 Sb 2.79
Pt: 0.0000 0.0000 0.4945 x1  4 Pt 2.74, 4 Ir 2.78, 2 Sb 2.79-2.85
Pt: 0.5000 0.5000 0.7274 x1  2 Ir 2.70-2.94, 4 Pt 2.74, 4 Sb 2.86


no.,D(E_F) (states/eV/atom)
1,1.006
2,0.445
3,0.612
4,0.837